Record 1
The following is a PBE-GGA calculation of a geometry-optimized ZrFeSb2Te structure, from Alexandria via LeMat-Bulk.

Structure (POSCAR):
```
ZrFeSb2Te
1.0
5.552 0.000 0.000
0.000 5.552 0.000
0.000 0.000 5.512
Zr Fe Sb Te
1 1 2 1
Cartesian
0.000 0.000 0.000
2.776 2.776 2.756
0.000 2.776 0.000
2.776 0.000 0.000
0.000 0.000 2.756
```

Summary:
- excess energy over the best structure of this formula in the dataset (eV per atom) = 0.318
- uncorrected formation energy (meV/atom) = 752

Record 2
The following is a PBE-GGA calculation of a geometry-optimized HoTh2Pa structure, from Alexandria via LeMat-Bulk.

Structure (POSCAR):
```
HoTh2Pa
1.0
4.988 0.000 0.000
0.000 4.988 0.000
0.000 0.000 4.793
Ho Th Pa
1 2 1
Cartesian
0.000 0.000 0.000
0.000 2.494 2.397
2.494 0.000 2.397
2.494 2.494 0.000
```

Summary:
- E_form (kJ per mole of atoms) = 16
- excess energy over the best structure of this formula in the dataset (eV per atom) = 0.082

Record 3
The following is a PBE-GGA calculation of a geometry-optimized GaFe2NiH structure, from Alexandria via LeMat-Bulk.

Structure (POSCAR):
```
GaFe2NiH
1.0
3.597 0.000 0.000
0.000 3.597 0.000
0.000 0.000 3.832
Ga Fe Ni H
1 2 1 1
Cartesian
0.000 0.000 0.000
0.000 1.799 1.916
1.799 0.000 1.916
1.799 1.799 0.000
1.799 1.799 1.916
```

Summary:
- excess energy over the best structure of this formula in the dataset (eV per atom) = 0.000

Record 4
The following is a PBE-GGA calculation of a geometry-optimized LaMg2AlRh structure, from Alexandria via LeMat-Bulk.

Structure (POSCAR):
```
LaMg2AlRh
1.0
4.938 0.000 0.000
0.000 4.938 0.000
0.000 0.000 4.773
La Mg Al Rh
1 2 1 1
Cartesian
0.000 0.000 0.000
0.000 2.469 2.386
2.469 0.000 2.386
2.469 2.469 0.000
2.469 2.469 2.386
```

Summary:
- E_form (kJ per mole of atoms) = -39

Record 5
The following is a PBE-GGA calculation of a geometry-optimized Tb2PmTm3S6 structure, from Alexandria via LeMat-Bulk.

Structure (POSCAR):
```
Tb2PmTm3S6
1.0
8.518 -1.940 0.000
8.518 1.940 0.000
-1.907 0.000 7.628
Tb Pm Tm S
2 1 3 6
Cartesian
2.195 0.000 2.529
12.935 0.000 5.099
8.518 0.000 0.000
1.226 0.000 6.359
7.565 0.000 3.814
13.904 0.000 1.269
-1.382 0.000 5.632
3.845 0.000 7.019
4.919 0.000 3.142
10.211 0.000 4.486
11.285 0.000 0.609
16.512 0.000 1.997
```

Summary:
- uncorrected formation energy (meV/atom) = -1977

Record 6
The following is a PBE-GGA calculation of a geometry-optimized KNi2Ru structure, from Alexandria via LeMat-Bulk.

Structure (POSCAR):
```
KNi2Ru
1.0
0.000 3.158 3.158
3.158 0.000 3.158
3.158 3.158 0.000
K Ni Ru
1 2 1
Cartesian
0.000 0.000 0.000
3.158 3.158 3.158
4.738 4.738 4.738
1.579 1.579 1.579
```

Summary:
- E_form (kJ per mole of atoms) = 122
- excess energy over the best structure of this formula in the dataset (eV per atom) = 0.752

Record 7
The following is a PBE-GGA calculation of a geometry-optimized SmTm5Mg3 structure, from Alexandria via LeMat-Bulk.

Structure (POSCAR):
```
SmTm5Mg3
1.0
5.377 -3.987 0.000
5.377 3.987 0.000
-1.945 0.000 12.999
Sm Tm Mg
2 10 6
Cartesian
0.076 0.000 3.382
8.732 0.000 9.618
2.743 2.165 4.362
2.678 0.000 1.558
5.377 1.413 0.000
6.065 2.165 8.637
3.382 0.000 9.834
5.427 0.000 3.165
2.743 -2.165 4.362
5.377 -1.413 0.000
6.130 0.000 11.441
6.065 -2.165 8.637
0.000 0.000 0.000
-0.973 0.000 6.500
0.688 0.000 11.449
2.869 0.000 6.779
5.939 0.000 6.220
8.120 0.000 1.550
```

Summary:
- E_form (kJ per mole of atoms) = 29

Record 8
The following is a PBE-GGA calculation of a geometry-optimized Pm3Er2Cd structure, from Alexandria via LeMat-Bulk.

Structure (POSCAR):
```
Pm3Er2Cd
1.0
3.619 0.000 0.000
0.000 3.619 0.000
0.000 0.000 14.239
Pm Er Cd
3 2 1
Cartesian
0.000 0.000 0.000
0.000 0.000 4.989
0.000 0.000 9.250
1.809 1.809 2.485
1.809 1.809 11.754
1.809 1.809 7.119
```

Summary:
- E_form (kJ per mole of atoms) = -8
- excess energy over the best structure of this formula in the dataset (eV per atom) = 0.000

Record 9
The following is a PBE-GGA calculation of a geometry-optimized Ti2TeBr2 structure, from Alexandria via LeMat-Bulk.

Structure (POSCAR):
```
Ti2TeBr2
1.0
8.176 0.000 0.000
0.000 8.176 0.000
0.000 0.000 3.173
Ti Te Br
4 2 4
Cartesian
1.522 2.566 0.000
2.566 6.654 0.000
5.610 1.522 0.000
6.654 5.610 0.000
0.000 0.000 1.586
4.088 4.088 1.586
1.043 5.131 1.586
3.045 1.043 1.586
5.131 7.133 1.586
7.133 3.045 1.586
```

Summary:
- excess energy over the best structure of this formula in the dataset (eV per atom) = 0.359
- uncorrected formation energy (meV/atom) = 42

Record 10
The following is a PBE-GGA calculation of a geometry-optimized Bi2RhO structure, from Alexandria via LeMat-Bulk.

Structure (POSCAR):
```
Bi2RhO
1.0
-2.848 2.848 6.003
2.848 -2.848 6.003
2.848 2.848 -6.003
Bi Rh O
4 2 2
Cartesian
4.272 1.206 -1.501
1.206 1.424 1.501
-1.424 1.642 4.502
1.642 1.424 7.504
2.848 0.000 3.001
0.000 0.000 6.003
0.000 0.000 0.000
0.000 2.848 3.001
```

Summary:
- uncorrected formation energy (meV/atom) = -243

Record 11
The following is a PBE-GGA calculation of a geometry-optimized Eu3B6Rh8 structure, from Alexandria via LeMat-Bulk.

Structure (POSCAR):
```
Eu3B6Rh8
1.0
0.000 4.965 8.604
2.784 0.000 8.604
2.784 4.965 0.000
Eu B Rh
3 6 8
Cartesian
0.000 0.000 0.000
2.784 4.965 3.146
2.784 4.965 14.063
2.784 3.366 5.664
2.784 3.313 8.604
2.784 6.563 5.664
2.784 3.366 11.545
2.784 6.616 8.604
2.784 6.563 11.545
1.392 2.482 1.461
1.392 2.482 4.302
2.784 4.965 7.106
1.392 2.482 7.143
4.176 7.447 10.066
2.784 4.965 10.103
4.176 7.447 12.907
4.176 7.447 15.747
```

Summary:
- E_form (kJ per mole of atoms) = -60

Record 12
The following is a PBE-GGA calculation of a geometry-optimized KRb2GaI4 structure, from Alexandria via LeMat-Bulk.

Structure (POSCAR):
```
KRb2GaI4
1.0
8.807 0.000 0.000
0.000 5.092 0.000
-2.936 0.000 8.330
K Rb Ga I
1 2 1 4
Cartesian
0.000 0.000 0.000
-1.468 2.546 4.165
2.935 0.000 4.165
4.403 2.546 0.000
1.547 2.546 1.930
0.075 0.000 6.447
5.796 0.000 1.883
4.324 2.546 6.400
```

Summary:
- uncorrected formation energy (meV/atom) = -1190